# 1
DFT (GGA-PBEsol) results for YTaSi after structural relaxation.

Computed properties:
**Density of states at the Fermi level**: 1.1524 states/eV per atom
**SG**: F-43m, No. 216
**Calculated density**: 7.8 g/cm3
**Electronic total energy**: -25.0 eV/cell

a b c (Å): 4.4755 4.4755 4.4755
angles (deg): 60.00 60.00 60.00
With the nearest neighbours (Å) after each atom.
Sites, in units of the cell vectors:
Si 0.7500 0.7500 0.7500  4 Y 2.74, 4 Ta 2.74
Ta 0.0000 0.0000 0.0000  4 Si 2.74
Y 0.5000 0.5000 0.5000  4 Si 2.74

***

# 2
DFT (GGA-PBEsol) results for CaInSe2 after structural relaxation.

Computed properties:
**Density of states at the Fermi level**: 0.1624 states/eV per atom
**SG**: Amm2, No. 38
**Calculated density**: 5.3 g/cm3
**Electronic total energy**: -17.5 eV/cell

a b c (Å): 3.9115 4.1471 6.3837
angles (deg): 90.00 107.84 90.00
With the nearest neighbours (Å) after each atom.
Sites, in units of the cell vectors:
Ca 0.5272 0.0000 0.0544  6 Se 2.91-3.16
Se 0.9788 0.5000 0.9577  1 In 2.63, 4 Ca 2.91
Se 0.2313 0.0000 0.4626  4 In 2.88, 2 Ca 3.16
In 0.7627 0.5000 0.5253  5 Se 2.63-2.88